SrHoCoO4 after structural relaxation, computed with PBE with a Hubbard U.

Values from the calculation:
* electronic total energy: -6.834 eV/atom
* space group: I4mm

Lattice parameters (Å, degrees): 6.563 6.563 6.563 146.78 146.78 47.69
Positions (direct):
Sr1 0.000 0.000 0.000
Ho1 0.720 0.720 0.000
Co1 0.360 0.360 0.000
O1 0.197 0.197 0.000
O2 0.341 0.841 0.500
O3 0.531 0.531 0.000
O4 0.841 0.341 0.500